{"formula": "MgCrSi4O10", "functional": "GGA-PBEsol", "state": "relaxed", "lattice": [[7.228, 0.000, 0.000], [0.000, 7.228, 0.000], [0.000, 0.000, 14.771]], "species": ["Mg", "Mg", "Mg", "Mg", "Cr", "Cr", "Cr", "Cr", "Si", "Si", "Si", "Si", "Si", "Si", "Si", "Si", "Si", "Si", "Si", "Si", "Si", "Si", "Si", "Si", "O", "O", "O", "O", "O", "O", "O", "O", "O", "O", "O", "O", "O", "O", "O", "O", "O", "O", "O", "O", "O", "O", "O", "O", "O", "O", "O", "O", "O", "O", "O", "O", "O", "O", "O", "O", "O", "O", "O", "O"], "fractional_positions": [[0.250, 0.750, 0.000], [0.250, 0.750, 0.500], [0.750, 0.250, 0.000], [0.750, 0.250, 0.500], [0.250, 0.250, 0.070], [0.250, 0.250, 0.570], [0.750, 0.750, 0.430], [0.750, 0.750, 0.930], [0.010, 0.585, 0.144], [0.010, 0.915, 0.644], [0.085, 0.510, 0.356], [0.085, 0.990, 0.856], [0.415, 0.510, 0.856], [0.415, 0.990, 0.356], [0.490, 0.585, 0.644], [0.490, 0.915, 0.144], [0.510, 0.085, 0.856], [0.510, 0.415, 0.356], [0.585, 0.010, 0.644], [0.585, 0.490, 0.144], [0.915, 0.010, 0.144], [0.915, 0.490, 0.644], [0.990, 0.085, 0.356], [0.990, 0.415, 0.856], [0.003, 0.693, 0.623], [0.003, 0.807, 0.123], [0.014, 0.666, 0.426], [0.014, 0.834, 0.926], [0.055, 0.555, 0.250], [0.055, 0.945, 0.750], [0.166, 0.514, 0.074], [0.166, 0.986, 0.574], [0.193, 0.503, 0.877], [0.193, 0.997, 0.377], [0.307, 0.503, 0.377], [0.307, 0.997, 0.877], [0.334, 0.514, 0.574], [0.334, 0.986, 0.074], [0.445, 0.555, 0.750], [0.445, 0.945, 0.250], [0.486, 0.666, 0.926], [0.486, 0.834, 0.426], [0.497, 0.693, 0.123], [0.497, 0.807, 0.623], [0.503, 0.193, 0.377], [0.503, 0.307, 0.877], [0.514, 0.166, 0.574], [0.514, 0.334, 0.074], [0.555, 0.055, 0.750], [0.555, 0.445, 0.250], [0.666, 0.014, 0.926], [0.666, 0.486, 0.426], [0.693, 0.003, 0.123], [0.693, 0.497, 0.623], [0.807, 0.003, 0.623], [0.807, 0.497, 0.123], [0.834, 0.014, 0.426], [0.834, 0.486, 0.926], [0.945, 0.055, 0.250], [0.945, 0.445, 0.750], [0.986, 0.166, 0.074], [0.986, 0.334, 0.574], [0.997, 0.193, 0.877], [0.997, 0.307, 0.377]], "final_energy_ev_per_atom": -8.046, "total_magnetization_mub_per_fu": 4.0, "spacegroup": "P4/ncc, No. 130", "e_form_raw_ev_per_atom": -2.58, "rho_g_cm3": 3.0}


{"formula": "Mg2TaCrO6", "functional": "GGA-PBEsol", "state": "relaxed", "lattice": [[5.097, 0.000, 0.000], [0.000, 7.485, 0.000], [-0.024, 0.000, 5.317]], "species": ["Mg", "Mg", "Mg", "Mg", "Ta", "Ta", "Cr", "Cr", "O", "O", "O", "O", "O", "O", "O", "O", "O", "O", "O", "O"], "fractional_positions": [[0.006, 0.250, 0.043], [0.486, 0.250, 0.571], [0.514, 0.750, 0.429], [0.994, 0.750, 0.957], [0.000, 0.000, 0.500], [0.000, 0.500, 0.500], [0.500, 0.000, 0.000], [0.500, 0.500, 0.000], [0.131, 0.750, 0.560], [0.181, 0.067, 0.812], [0.181, 0.433, 0.812], [0.318, 0.067, 0.314], [0.318, 0.433, 0.314], [0.372, 0.750, 0.066], [0.628, 0.250, 0.934], [0.682, 0.567, 0.686], [0.682, 0.933, 0.686], [0.819, 0.567, 0.188], [0.819, 0.933, 0.188], [0.869, 0.250, 0.440]], "final_energy_ev_per_atom": -8.314, "total_magnetization_mub_per_fu": 3.0, "spacegroup": "P2_1/m, No. 11", "e_form_raw_ev_per_atom": -2.54, "rho_g_cm3": 6.2}


{"formula": "Mg30VCrO32", "functional": "GGA-PBEsol", "state": "relaxed", "lattice": [[8.424, 0.000, 0.000], [0.000, 8.424, 0.000], [0.000, 0.000, 8.508]], "species": ["Mg", "Mg", "Mg", "Mg", "Mg", "Mg", "Mg", "Mg", "Mg", "Mg", "Mg", "Mg", "Mg", "Mg", "Mg", "Mg", "Mg", "Mg", "Mg", "Mg", "Mg", "Mg", "Mg", "Mg", "Mg", "Mg", "Mg", "Mg", "Mg", "Mg", "V", "Cr", "O", "O", "O", "O", "O", "O", "O", "O", "O", "O", "O", "O", "O", "O", "O", "O", "O", "O", "O", "O", "O", "O", "O", "O", "O", "O", "O", "O", "O", "O", "O", "O"], "fractional_positions": [[0.000, 0.000, 0.000], [0.000, 0.249, 0.248], [0.000, 0.249, 0.752], [0.000, 0.500, 0.000], [0.000, 0.500, 0.500], [0.000, 0.751, 0.248], [0.000, 0.751, 0.752], [0.249, 0.000, 0.248], [0.249, 0.000, 0.752], [0.250, 0.250, 0.000], [0.250, 0.250, 0.500], [0.250, 0.500, 0.250], [0.250, 0.500, 0.750], [0.250, 0.750, 0.000], [0.250, 0.750, 0.500], [0.500, 0.000, 0.000], [0.500, 0.000, 0.500], [0.500, 0.250, 0.250], [0.500, 0.250, 0.750], [0.500, 0.500, 0.000], [0.500, 0.750, 0.250], [0.500, 0.750, 0.750], [0.750, 0.250, 0.000], [0.750, 0.250, 0.500], [0.750, 0.500, 0.250], [0.750, 0.500, 0.750], [0.750, 0.750, 0.000], [0.750, 0.750, 0.500], [0.751, 0.000, 0.248], [0.751, 0.000, 0.752], [0.500, 0.500, 0.500], [0.000, 0.000, 0.500], [0.000, 0.000, 0.235], [0.000, 0.000, 0.765], [0.000, 0.248, 0.500], [0.000, 0.253, 0.000], [0.000, 0.500, 0.251], [0.000, 0.500, 0.749], [0.000, 0.747, 0.000], [0.000, 0.752, 0.500], [0.246, 0.500, 0.500], [0.248, 0.000, 0.500], [0.250, 0.250, 0.251], [0.250, 0.250, 0.749], [0.250, 0.500, 0.000], [0.250, 0.750, 0.251], [0.250, 0.750, 0.749], [0.253, 0.000, 0.000], [0.500, 0.000, 0.251], [0.500, 0.000, 0.749], [0.500, 0.246, 0.500], [0.500, 0.250, 0.000], [0.500, 0.500, 0.248], [0.500, 0.500, 0.752], [0.500, 0.750, 0.000], [0.500, 0.754, 0.500], [0.747, 0.000, 0.000], [0.750, 0.250, 0.251], [0.750, 0.250, 0.749], [0.750, 0.500, 0.000], [0.750, 0.750, 0.251], [0.750, 0.750, 0.749], [0.752, 0.000, 0.500], [0.754, 0.500, 0.500]], "final_energy_ev_per_atom": -6.387, "total_magnetization_mub_per_fu": 7.0, "spacegroup": "P4/mmm, No. 123", "e_form_raw_ev_per_atom": -2.65, "rho_g_cm3": 3.7}


{"formula": "MgVCrO4", "functional": "GGA-PBEsol", "state": "relaxed", "lattice": [[-2.885, 2.969, 4.256], [2.885, -2.969, 4.256], [2.885, 2.969, -4.256]], "species": ["Mg", "Mg", "V", "V", "Cr", "Cr", "O", "O", "O", "O", "O", "O", "O", "O"], "fractional_positions": [[0.377, 0.127, 0.250], [0.623, 0.873, 0.750], [0.000, 0.000, 0.500], [0.000, 0.500, 0.000], [0.000, 0.500, 0.500], [0.500, 0.500, 0.000], [0.217, 0.734, 0.483], [0.237, 0.258, 0.521], [0.237, 0.716, 0.979], [0.249, 0.266, 0.983], [0.751, 0.734, 0.017], [0.763, 0.284, 0.021], [0.763, 0.742, 0.479], [0.783, 0.266, 0.517]], "final_energy_ev_per_atom": -8.359, "total_magnetization_mub_per_fu": 5.0, "spacegroup": "Imma, No. 74", "e_form_raw_ev_per_atom": -2.27, "rho_g_cm3": 4.4}


{"formula": "Mg30ZnCrO32", "functional": "GGA-PBEsol", "state": "relaxed", "lattice": [[8.421, 0.000, 0.000], [0.000, 8.421, 0.000], [0.000, 0.000, 8.511]], "species": ["Mg", "Mg", "Mg", "Mg", "Mg", "Mg", "Mg", "Mg", "Mg", "Mg", "Mg", "Mg", "Mg", "Mg", "Mg", "Mg", "Mg", "Mg", "Mg", "Mg", "Mg", "Mg", "Mg", "Mg", "Mg", "Mg", "Mg", "Mg", "Mg", "Mg", "Zn", "Cr", "O", "O", "O", "O", "O", "O", "O", "O", "O", "O", "O", "O", "O", "O", "O", "O", "O", "O", "O", "O", "O", "O", "O", "O", "O", "O", "O", "O", "O", "O", "O", "O"], "fractional_positions": [[0.000, 0.000, 0.000], [0.000, 0.249, 0.248], [0.000, 0.249, 0.752], [0.000, 0.500, 0.000], [0.000, 0.500, 0.500], [0.000, 0.751, 0.248], [0.000, 0.751, 0.752], [0.249, 0.000, 0.248], [0.249, 0.000, 0.752], [0.250, 0.250, 0.000], [0.250, 0.250, 0.500], [0.250, 0.500, 0.250], [0.250, 0.500, 0.750], [0.250, 0.750, 0.000], [0.250, 0.750, 0.500], [0.500, 0.000, 0.000], [0.500, 0.000, 0.500], [0.500, 0.250, 0.250], [0.500, 0.250, 0.750], [0.500, 0.500, 0.000], [0.500, 0.750, 0.250], [0.500, 0.750, 0.750], [0.750, 0.250, 0.000], [0.750, 0.250, 0.500], [0.750, 0.500, 0.250], [0.750, 0.500, 0.750], [0.750, 0.750, 0.000], [0.750, 0.750, 0.500], [0.751, 0.000, 0.248], [0.751, 0.000, 0.752], [0.500, 0.500, 0.500], [0.000, 0.000, 0.500], [0.000, 0.000, 0.234], [0.000, 0.000, 0.766], [0.000, 0.247, 0.500], [0.000, 0.253, 0.000], [0.000, 0.500, 0.251], [0.000, 0.500, 0.749], [0.000, 0.747, 0.000], [0.000, 0.753, 0.500], [0.247, 0.000, 0.500], [0.247, 0.500, 0.500], [0.250, 0.250, 0.251], [0.250, 0.250, 0.749], [0.250, 0.500, 0.000], [0.250, 0.750, 0.251], [0.250, 0.750, 0.749], [0.253, 0.000, 0.000], [0.500, 0.000, 0.251], [0.500, 0.000, 0.749], [0.500, 0.247, 0.500], [0.500, 0.250, 0.000], [0.500, 0.500, 0.248], [0.500, 0.500, 0.752], [0.500, 0.750, 0.000], [0.500, 0.753, 0.500], [0.747, 0.000, 0.000], [0.750, 0.250, 0.251], [0.750, 0.250, 0.749], [0.750, 0.500, 0.000], [0.750, 0.750, 0.251], [0.750, 0.750, 0.749], [0.753, 0.000, 0.500], [0.753, 0.500, 0.500]], "final_energy_ev_per_atom": -6.258, "total_magnetization_mub_per_fu": 4.0, "spacegroup": "P4/mmm, No. 123", "e_form_raw_ev_per_atom": -2.64, "rho_g_cm3": 3.7}


{"formula": "MgCr2P", "functional": "GGA-PBEsol", "state": "relaxed", "lattice": [[3.678, 0.000, 0.000], [0.000, 3.678, 0.000], [0.000, 0.000, 3.716]], "species": ["Mg", "Cr", "Cr", "P"], "fractional_positions": [[0.000, 0.000, 0.000], [0.000, 0.500, 0.500], [0.500, 0.000, 0.500], [0.500, 0.500, 0.000]], "final_energy_ev_per_atom": -6.748, "total_magnetization_mub_per_fu": 2.5, "spacegroup": "P4/mmm, No. 123", "e_above_lowest_polymorph_ev_per_fu": 0.51, "rho_g_cm3": 5.3, "ef_ev_per_atom": 0.25}


{"formula": "MgCrP2", "functional": "GGA-PBEsol", "state": "relaxed", "lattice": [[3.226, 0.000, 0.000], [0.000, 4.089, 0.000], [0.000, 0.000, 9.111]], "species": ["Mg", "Mg", "Cr", "Cr", "P", "P", "P", "P"], "fractional_positions": [[0.000, 0.000, 0.000], [0.500, 0.500, 0.000], [0.000, 0.500, 0.241], [0.500, 0.000, 0.241], [0.000, 0.000, 0.423], [0.000, 0.500, 0.766], [0.500, 0.000, 0.766], [0.500, 0.500, 0.423]], "final_energy_ev_per_atom": -5.658, "total_magnetization_mub_per_fu": 0.0, "spacegroup": "Cmm2, No. 35", "e_above_lowest_polymorph_ev_per_fu": 2.20, "rho_g_cm3": 3.8, "ef_ev_per_atom": 0.23}


{"formula": "MgCrP3", "functional": "GGA-PBEsol", "state": "relaxed", "lattice": [[4.442, 0.000, 0.000], [0.000, 4.442, 0.000], [0.000, 0.000, 4.442]], "species": ["Mg", "Cr", "P", "P", "P"], "fractional_positions": [[0.000, 0.000, 0.000], [0.500, 0.500, 0.500], [0.000, 0.500, 0.500], [0.500, 0.000, 0.500], [0.500, 0.500, 0.000]], "final_energy_ev_per_atom": -5.625, "total_magnetization_mub_per_fu": 0.7, "spacegroup": "Pm-3m, No. 221", "rho_g_cm3": 3.2, "ef_ev_per_atom": 0.24}


{"formula": "MgCrP2", "functional": "GGA-PBEsol", "state": "relaxed", "lattice": [[5.434, 0.000, 0.000], [0.000, 6.617, 0.000], [-0.083, 0.000, 3.250]], "species": ["Mg", "Mg", "Cr", "Cr", "P", "P", "P", "P"], "fractional_positions": [[0.000, 0.000, 0.000], [0.500, 0.500, 0.000], [0.000, 0.500, 0.000], [0.500, 0.000, 0.000], [0.250, 0.250, 0.500], [0.250, 0.750, 0.500], [0.750, 0.250, 0.500], [0.750, 0.750, 0.500]], "final_energy_ev_per_atom": -5.886, "total_magnetization_mub_per_fu": 3.1, "spacegroup": "C2/m, No. 12", "e_above_lowest_polymorph_ev_per_fu": 1.29, "rho_g_cm3": 3.9, "ef_ev_per_atom": 0.00}


{"formula": "MgCr2P", "functional": "GGA-PBEsol", "state": "relaxed", "lattice": [[2.680, 0.000, 0.000], [0.000, 4.098, 0.000], [-0.320, 0.000, 4.674]], "species": ["Mg", "Cr", "Cr", "P"], "fractional_positions": [[0.000, 0.000, 0.000], [0.363, 0.500, 0.743], [0.637, 0.500, 0.257], [0.500, 0.000, 0.500]], "final_energy_ev_per_atom": -6.756, "total_magnetization_mub_per_fu": 0.0, "spacegroup": "P2/m, No. 10", "e_above_lowest_polymorph_ev_per_fu": 0.48, "rho_g_cm3": 5.2, "ef_ev_per_atom": 0.24}


{"formula": "MgCrP2", "functional": "GGA-PBEsol", "state": "relaxed", "lattice": [[3.168, 0.000, 0.000], [-1.584, 2.744, 0.000], [0.000, 0.000, 20.182]], "species": ["Mg", "Mg", "Mg", "Cr", "Cr", "Cr", "P", "P", "P", "P", "P", "P"], "fractional_positions": [[0.000, 0.000, 0.000], [0.333, 0.667, 0.667], [0.667, 0.333, 0.333], [0.000, 0.000, 0.500], [0.333, 0.667, 0.167], [0.667, 0.333, 0.833], [0.000, 0.000, 0.238], [0.000, 0.000, 0.762], [0.333, 0.667, 0.429], [0.333, 0.667, 0.905], [0.667, 0.333, 0.095], [0.667, 0.333, 0.571]], "final_energy_ev_per_atom": -6.209, "total_magnetization_mub_per_fu": 0.0, "spacegroup": "R-3m, No. 166", "e_above_lowest_polymorph_ev_per_fu": 0.00, "rho_g_cm3": 3.9, "ef_ev_per_atom": -0.32}


{"formula": "MgCr2P", "functional": "GGA-PBEsol", "state": "relaxed", "lattice": [[3.082, 0.000, 0.000], [0.000, 4.387, 0.000], [0.000, 0.000, 7.948]], "species": ["Mg", "Mg", "Cr", "Cr", "Cr", "Cr", "P", "P"], "fractional_positions": [[0.000, 0.000, 0.000], [0.500, 0.500, 0.000], [0.000, 0.000, 0.508], [0.000, 0.500, 0.722], [0.500, 0.000, 0.722], [0.500, 0.500, 0.508], [0.000, 0.500, 0.289], [0.500, 0.000, 0.289]], "final_energy_ev_per_atom": -6.769, "total_magnetization_mub_per_fu": 0.0, "spacegroup": "Cmm2, No. 35", "e_above_lowest_polymorph_ev_per_fu": 0.42, "rho_g_cm3": 4.9, "ef_ev_per_atom": 0.23}